# CoCuSnAu

A relaxed structure of CoCuSnAu (GGA-PBE, the Open Quantum Materials Database).

Lattice parameters (Å, degrees): 6.258 6.258 6.258 90.00 90.00 90.00
Element x y z (fractional)
1 Co 0.000 0.000 0.000
2 Co 0.000 0.500 0.500
3 Co 0.500 0.000 0.500
4 Co 0.500 0.500 0.000
5 Cu 0.000 0.000 0.500
6 Cu 0.000 0.500 0.000
7 Cu 0.500 0.000 0.000
8 Cu 0.500 0.500 0.500
9 Sn 0.250 0.250 0.750
10 Sn 0.250 0.750 0.250
11 Sn 0.750 0.250 0.250
12 Sn 0.750 0.750 0.750
13 Au 0.250 0.250 0.250
14 Au 0.250 0.750 0.750
15 Au 0.750 0.250 0.750
16 Au 0.750 0.750 0.250

- space-group type = No. 216
- energy above the most stable polymorph in this dataset (eV per atom) = 0.0000
- magnetization (μB/f.u.) = 0.71



# DyEr2Zn3CoAu2

A relaxed structure of DyEr2Zn3CoAu2 (GGA-PBE, the Open Quantum Materials Database).

Lattice parameters (Å, degrees): 3.935 7.195 7.195 120.06 90.00 90.00
Element x y z (fractional)
1 Dy 0.000 0.000 0.000
2 Er 0.000 0.392 0.782
3 Er 0.000 0.782 0.392
4 Zn 0.500 0.165 0.393
5 Zn 0.500 0.393 0.165
6 Zn 0.500 0.620 0.620
7 Co 0.000 0.393 0.393
8 Au 0.500 0.059 0.724
9 Au 0.500 0.724 0.059

- space-group type = No. 38
- formation energy (eV/atom) = -0.56
- magnetization (μB/f.u.) = 0.04



# DyCoSi2Au

A relaxed structure of DyCoSi2Au (GGA-PBE, the Open Quantum Materials Database).

Lattice parameters (Å, degrees): 4.042 4.042 10.144 90.00 90.00 90.00
Element x y z (fractional)
1 Dy 0.000 0.000 0.000
2 Dy 0.500 0.500 0.500
3 Co 0.000 0.500 0.250
4 Co 0.500 0.000 0.750
5 Si 0.000 0.000 0.385
6 Si 0.000 0.000 0.615
7 Si 0.500 0.500 0.115
8 Si 0.500 0.500 0.885
9 Au 0.000 0.500 0.750
10 Au 0.500 0.000 0.250

- space-group type = No. 119
- calculated total energy (hartree per atom) = -0.2121
- magnetization (μB/f.u.) = 1.14



What did the second record say?
# DyEr2Zn3CoAu2

A relaxed structure of DyEr2Zn3CoAu2 (GGA-PBE, the Open Quantum Materials Database).

Lattice parameters (Å, degrees): 3.935 7.195 7.195 120.06 90.00 90.00
Element x y z (fractional)
1 Dy 0.000 0.000 0.000
2 Er 0.000 0.392 0.782
3 Er 0.000 0.782 0.392
4 Zn 0.500 0.165 0.393
5 Zn 0.500 0.393 0.165
6 Zn 0.500 0.620 0.620
7 Co 0.000 0.393 0.393
8 Au 0.500 0.059 0.724
9 Au 0.500 0.724 0.059

- space-group type = No. 38
- formation energy (eV/atom) = -0.56
- magnetization (μB/f.u.) = 0.04